## Ti3IrO (GGA-PBE)

Data for Ti3IrO after structural relaxation.

a = 4.081 Å, b = 4.081 Å, c = 4.081 Å
α = 90.00°, β = 90.00°, γ = 90.00°
Atoms (fractional coordinates):
Ti 0.000 0.500 0.000
Ti 0.000 0.000 0.500
Ti 0.500 0.000 0.000
O 0.000 0.000 0.000
Ir 0.500 0.500 0.500

Energy relative to the elements, uncorrected ... -1.40 eV/atom


## Ti4IrO (GGA-PBE)

Data for Ti4IrO after structural relaxation.

a = 4.712 Å, b = 5.843 Å, c = 6.775 Å
α = 102.98°, β = 110.34°, γ = 90.01°
Atoms (fractional coordinates):
Ti 0.152 0.188 0.383
Ir 0.044 0.250 0.000
O 0.500 0.000 0.500
Ir 0.956 0.750 0.000
Ti 0.385 0.562 0.800
Ti 0.585 0.938 0.200
Ti 0.769 0.312 0.617
O 0.000 0.500 0.500
Ti 0.231 0.688 0.383
Ti 0.615 0.438 0.200
Ti 0.848 0.812 0.617
Ti 0.415 0.062 0.800

Energy relative to the elements, uncorrected ... -1.19 eV/atom


## Ti2IrO (GGA-PBE)

Data for Ti2IrO after structural relaxation.

a = 2.926 Å, b = 2.926 Å, c = 7.014 Å
α = 77.96°, β = 77.96°, γ = 60.00°
Atoms (fractional coordinates):
Ti 0.728 0.728 0.815
Ir 0.500 0.500 0.500
O 0.000 0.000 0.000
Ti 0.272 0.272 0.185

Energy relative to the elements, uncorrected ... -1.51 eV/atom


## Ti12Ir5O2 (GGA-PBE)

Data for Ti12Ir5O2 after structural relaxation.

a = 5.885 Å, b = 8.565 Å, c = 6.953 Å
α = 116.98°, β = 90.00°, γ = 110.09°
Atoms (fractional coordinates):
Ti 0.028 0.055 0.205
Ir 0.746 0.492 0.991
Ti 0.605 0.710 0.363
Ir 0.000 0.000 0.500
Ti 0.598 0.708 0.869
Ir 0.254 0.508 0.009
O 0.718 0.000 0.000
Ir 0.251 0.502 0.495
Ti 0.891 0.292 0.131
Ti 0.495 0.991 0.735
Ti 0.505 0.009 0.265
Ti 0.109 0.708 0.869
Ti 0.895 0.290 0.637
Ti 0.402 0.292 0.131
Ti 0.105 0.710 0.363
Ti 0.972 0.945 0.795
Ir 0.749 0.498 0.505
Ti 0.395 0.290 0.637
O 0.282 0.000 0.000

Energy relative to the elements, uncorrected ... -0.88 eV/atom


## Ti2IrO (GGA-PBE)

Data for Ti2IrO after structural relaxation.

a = 5.784 Å, b = 5.784 Å, c = 5.394 Å
α = 57.58°, β = 57.58°, γ = 90.00°
Atoms (fractional coordinates):
Ir 0.750 0.250 0.500
Ti 0.875 0.799 0.750
Ti 0.549 0.125 0.250
Ti 0.375 0.451 0.750
O 0.250 0.750 0.500
O 0.500 0.500 0.000
Ti 0.201 0.625 0.250
Ir 0.000 0.000 0.000

Energy relative to the elements, uncorrected ... -1.34 eV/atom


## Ti3IrO (GGA-PBE)

Data for Ti3IrO after structural relaxation.

a = 4.752 Å, b = 4.752 Å, c = 4.752 Å
α = 90.00°, β = 90.00°, γ = 90.00°
Each line ends with the local moment (μB).
Atoms (fractional coordinates):
Ti 0.000 0.000 0.500  0.45
O 0.500 0.500 0.500  0.09
Ir 0.000 0.000 0.000  -0.10
Ti 0.500 0.000 0.000  0.71
Ti 0.000 0.500 0.000  0.52

Energy relative to the elements, uncorrected ... 0.56 eV/atom


## Ti3IrO (GGA-PBE)

Data for Ti3IrO after structural relaxation.

a = 3.040 Å, b = 7.011 Å, c = 7.583 Å
α = 70.69°, β = 90.00°, γ = 102.52°
Atoms (fractional coordinates):
O 0.899 0.798 0.143
Ti 0.838 0.677 0.428
Ir 0.366 0.731 0.685
Ti 0.162 0.323 0.572
Ti 0.048 0.095 0.142
Ir 0.634 0.269 0.315
O 0.101 0.202 0.857
Ti 0.289 0.579 0.129
Ti 0.711 0.421 0.871
Ti 0.952 0.905 0.858

Energy relative to the elements, uncorrected ... -1.24 eV/atom


## Ti6Ir2O (GGA-PBE)

Data for Ti6Ir2O after structural relaxation.

a = 2.924 Å, b = 7.179 Å, c = 7.395 Å
α = 119.04°, β = 90.00°, γ = 90.00°
Atoms (fractional coordinates):
Ti 0.000 0.998 0.232
Ti 0.500 0.039 0.600
Ti 0.000 0.766 0.768
Ti 0.500 0.542 0.000
Ti 0.000 0.209 0.000
Ti 0.500 0.439 0.400
O 0.500 0.940 0.000
Ir 0.000 0.701 0.334
Ir 0.000 0.367 0.666

Energy relative to the elements, uncorrected ... -0.84 eV/atom


## Ti2IrO2 (GGA-PBE)

Data for Ti2IrO2 after structural relaxation.

a = 6.455 Å, b = 6.455 Å, c = 2.670 Å
α = 90.00°, β = 90.00°, γ = 90.00°
Atoms (fractional coordinates):
Ti 0.335 0.165 0.500
Ti 0.665 0.835 0.500
O 0.873 0.627 0.000
Ir 0.000 0.000 0.000
O 0.627 0.127 0.000
O 0.127 0.373 0.000
Ti 0.835 0.335 0.500
Ir 0.500 0.500 0.000
O 0.373 0.873 0.000
Ti 0.165 0.665 0.500

Energy relative to the elements, uncorrected ... -1.29 eV/atom


## TiIrO3 (GGA-PBE)

Data for TiIrO3 after structural relaxation.

a = 3.879 Å, b = 3.879 Å, c = 3.879 Å
α = 90.00°, β = 90.00°, γ = 90.00°
Atoms (fractional coordinates):
O 0.500 0.000 0.000
Ir 0.000 0.000 0.000
Ti 0.500 0.500 0.500
O 0.000 0.500 0.000
O 0.000 0.000 0.500

Energy relative to the elements, uncorrected ... -0.46 eV/atom


## Ti6Ir2O (GGA-PBE)

Data for Ti6Ir2O after structural relaxation.

a = 5.836 Å, b = 5.801 Å, c = 7.940 Å
α = 90.00°, β = 89.43°, γ = 90.00°
Atoms (fractional coordinates):
Ir 0.498 0.019 0.749
Ti 0.721 0.778 0.531
Ti 0.779 0.278 0.969
O 0.500 0.500 0.000
Ti 0.279 0.222 0.469
Ti 0.782 0.277 0.534
Ti 0.218 0.723 0.466
Ti 0.718 0.777 0.966
Ti 0.562 0.503 0.259
Ti 0.938 0.003 0.241
Ti 0.438 0.497 0.741
O 0.000 0.000 0.500
Ti 0.062 0.997 0.759
Ir 0.502 0.981 0.251
Ir 0.998 0.481 0.249
Ir 0.002 0.519 0.751
Ti 0.221 0.722 0.031
Ti 0.282 0.223 0.034

Energy relative to the elements, uncorrected ... -1.00 eV/atom


## TiIr2O (GGA-PBE)

Data for TiIr2O after structural relaxation.

a = 4.817 Å, b = 4.817 Å, c = 6.704 Å
α = 68.95°, β = 68.95°, γ = 90.00°
Atoms (fractional coordinates):
Ir 0.875 0.774 0.750
O 0.500 0.500 0.000
O 0.250 0.750 0.500
Ir 0.375 0.476 0.750
Ti 0.750 0.250 0.500
Ir 0.524 0.125 0.250
Ti 0.000 0.000 0.000
Ir 0.226 0.625 0.250

Energy relative to the elements, uncorrected ... 0.02 eV/atom


no.,DOS at the Fermi energy (states/eV/atom)
1,1.494
2,0.745
3,0.481
4,0.768
5,1.399
6,1.411
7,0.670
8,1.110
9,0.800
10,1.594
11,0.879
12,0.000